1.
! SrLiSeBr2 | the Alexandria database | SCAN | single point on PBEsol structure; values from VASP
! ρ	4.51	g cm⁻³
! E	-18.1725	eV/atom
! crystal system	tetragonal
&SYSTEM
  ibrav = 0, nat = 5, ntyp = 4
/
ATOMIC_SPECIES
Sr 87.62 Sr.upf
Li 6.94 Li.upf
Se 78.96 Se.upf
Br 79.90 Br.upf
CELL_PARAMETERS angstrom
4.947 0.000 0.000
0.000 4.947 0.000
0.000 0.000 5.009
ATOMIC_POSITIONS crystal
Sr 0.000 0.000 0.000
Li 0.500 0.500 0.500
Se 0.500 0.500 0.000
Br 0.000 0.500 0.500
Br 0.500 0.000 0.500

***

2.
! Na3BeAlSi2O8 | the Alexandria database | SCAN | single point on PBEsol structure; values from VASP
! ρ	2.65	g cm⁻³
! E	-9.1685	eV/atom
! crystal system	orthorhombic
&SYSTEM
  ibrav = 0, nat = 30, ntyp = 5
/
ATOMIC_SPECIES
Na 22.99 Na.upf
Be 9.01 Be.upf
Al 26.98 Al.upf
Si 28.09 Si.upf
O 16.00 O.upf
CELL_PARAMETERS angstrom
6.868 0.000 0.000
0.000 7.200 0.000
0.000 0.000 7.323
ATOMIC_POSITIONS crystal
Na 0.000 0.000 0.033
Na 0.249 0.213 0.676
Na 0.251 0.713 0.324
Na 0.500 0.500 0.967
Na 0.749 0.287 0.324
Na 0.751 0.787 0.676
Be 0.000 0.000 0.432
Be 0.500 0.500 0.568
Al 0.000 0.500 0.966
Al 0.500 0.000 0.034
Si 0.235 0.802 0.740
Si 0.265 0.302 0.260
Si 0.735 0.698 0.260
Si 0.765 0.198 0.740
O 0.043 0.697 0.830
O 0.082 0.163 0.293
O 0.173 0.914 0.557
O 0.204 0.461 0.105
O 0.296 0.961 0.895
O 0.327 0.414 0.443
O 0.418 0.663 0.707
O 0.457 0.197 0.170
O 0.543 0.803 0.170
O 0.582 0.337 0.707
O 0.673 0.586 0.443
O 0.704 0.039 0.895
O 0.796 0.539 0.105
O 0.827 0.086 0.557
O 0.918 0.837 0.293
O 0.957 0.303 0.830

***

3.
! MgPdN3 | the Alexandria database | SCAN | single point on PBEsol structure; values from VASP
! ρ	5.02	g cm⁻³
! E	-11.1449	eV/atom
! crystal system	cubic
&SYSTEM
  ibrav = 0, nat = 5, ntyp = 3
/
ATOMIC_SPECIES
Mg 24.30 Mg.upf
Pd 106.42 Pd.upf
N 14.01 N.upf
CELL_PARAMETERS angstrom
3.852 0.000 0.000
0.000 3.852 0.000
0.000 0.000 3.852
ATOMIC_POSITIONS crystal
Mg 0.000 0.000 0.000
Pd 0.500 0.500 0.500
N 0.000 0.000 0.500
N 0.000 0.500 0.000
N 0.500 0.000 0.000

***

4.
! CaCuPC2 | the Alexandria database | SCAN | single point on PBEsol structure; values from VASP
! ρ	3.70	g cm⁻³
! E	-9.6944	eV/atom
! crystal system	tetragonal
&SYSTEM
  ibrav = 0, nat = 5, ntyp = 4
/
ATOMIC_SPECIES
Ca 40.08 Ca.upf
Cu 63.55 Cu.upf
P 30.97 P.upf
C 12.01 C.upf
CELL_PARAMETERS angstrom
3.876 0.000 0.000
0.000 3.876 0.000
0.000 0.000 4.738
ATOMIC_POSITIONS crystal
Ca 0.000 0.000 0.000
Cu 0.500 0.500 0.500
P 0.500 0.500 0.000
C 0.000 0.500 0.500
C 0.500 0.000 0.500

***

5.
! PdRuRhI2 | the Alexandria database | SCAN | single point on PBEsol structure; values from VASP
! ρ	7.34	g cm⁻³
! E	-33.6175	eV/atom
! crystal system	tetragonal
&SYSTEM
  ibrav = 0, nat = 5, ntyp = 4
/
ATOMIC_SPECIES
Pd 106.42 Pd.upf
Ru 101.07 Ru.upf
Rh 102.91 Rh.upf
I 126.90 I.upf
CELL_PARAMETERS angstrom
5.136 0.000 0.000
0.000 5.136 0.000
0.000 0.000 4.839
ATOMIC_POSITIONS crystal
Pd 0.000 0.000 0.000
Ru 0.500 0.500 0.500
Rh 0.000 0.000 0.500
I 0.000 0.500 0.000
I 0.500 0.000 0.000

***

6.
! Zn2NiSb | the Alexandria database | SCAN | single point on PBEsol structure; values from VASP
! ρ	8.28	g cm⁻³
! E	-19.9941	eV/atom
! crystal system	orthorhombic
&SYSTEM
  ibrav = 0, nat = 4, ntyp = 3
/
ATOMIC_SPECIES
Zn 65.41 Zn.upf
Ni 58.69 Ni.upf
Sb 121.76 Sb.upf
CELL_PARAMETERS angstrom
2.554 -3.084 0.000
2.554 3.084 0.000
0.000 0.000 3.962
ATOMIC_POSITIONS crystal
Zn 0.000 0.500 0.000
Zn 0.500 0.000 0.000
Ni 0.000 0.000 0.500
Sb 0.500 0.500 0.500

***

7.
! AlCoSe2 | the Alexandria database | SCAN | single point on PBEsol structure; values from VASP
! ρ	5.30	g cm⁻³
! E	-16.4721	eV/atom
! crystal system	trigonal
&SYSTEM
  ibrav = 0, nat = 4, ntyp = 3
/
ATOMIC_SPECIES
Al 26.98 Al.upf
Co 58.93 Co.upf
Se 78.96 Se.upf
CELL_PARAMETERS angstrom
1.725 0.996 7.410
-1.725 0.996 7.410
0.000 -1.992 7.410
ATOMIC_POSITIONS crystal
Al 0.000 0.000 0.000
Co 0.500 0.500 0.500
Se 0.112 0.112 0.112
Se 0.888 0.888 0.888

***

8.
! SeBr4Cl | the Alexandria database | SCAN | single point on PBEsol structure; values from VASP
! ρ	4.86	g cm⁻³
! E	-16.8299	eV/atom
! crystal system	cubic
&SYSTEM
  ibrav = 0, nat = 6, ntyp = 3
/
ATOMIC_SPECIES
Se 78.96 Se.upf
Br 79.90 Br.upf
Cl 35.45 Cl.upf
CELL_PARAMETERS angstrom
0.000 4.200 4.200
4.200 0.000 4.200
4.200 4.200 0.000
ATOMIC_POSITIONS crystal
Se 0.000 0.000 0.000
Br 0.126 0.625 0.625
Br 0.625 0.126 0.625
Br 0.625 0.625 0.126
Br 0.625 0.625 0.625
Cl 0.250 0.250 0.250

***

9.
! Sr2NiPBr | the Alexandria database | SCAN | single point on PBEsol structure; values from VASP
! ρ	3.43	g cm⁻³
! E	-18.1858	eV/atom
! crystal system	tetragonal
&SYSTEM
  ibrav = 0, nat = 5, ntyp = 4
/
ATOMIC_SPECIES
Sr 87.62 Sr.upf
Ni 58.69 Ni.upf
P 30.97 P.upf
Br 79.90 Br.upf
CELL_PARAMETERS angstrom
5.763 0.000 0.000
0.000 5.763 0.000
0.000 0.000 5.027
ATOMIC_POSITIONS crystal
Sr 0.000 0.500 0.000
Sr 0.500 0.000 0.000
Ni 0.000 0.000 0.500
P 0.500 0.500 0.000
Br 0.500 0.500 0.500

***

10.
! ZrPb2Br | the Alexandria database | SCAN | single point on PBEsol structure; values from VASP
! relative energy among the computed polymorphs	1.93	eV per formula unit
! ρ	9.58	g cm⁻³
! crystal system	tetragonal
&SYSTEM
  ibrav = 0, nat = 4, ntyp = 3
/
ATOMIC_SPECIES
Zr 91.22 Zr.upf
Pb 207.20 Pb.upf
Br 79.90 Br.upf
CELL_PARAMETERS angstrom
-2.193 2.193 5.275
2.193 -2.193 5.275
2.193 2.193 -5.275
ATOMIC_POSITIONS crystal
Zr 0.000 0.000 0.000
Pb 0.250 0.750 0.500
Pb 0.500 0.500 0.000
Br 0.750 0.250 0.500

***

11.
! MnFe3Sb2P6O24 | the Alexandria database | SCAN | single point on PBEsol structure; values from VASP
! ρ	3.86	g cm⁻³
! E	-12.0451	eV/atom
! crystal system	trigonal
&SYSTEM
  ibrav = 0, nat = 36, ntyp = 5
/
ATOMIC_SPECIES
Mn 54.94 Mn.upf
Fe 55.84 Fe.upf
Sb 121.76 Sb.upf
P 30.97 P.upf
O 16.00 O.upf
CELL_PARAMETERS angstrom
4.240 2.448 7.160
-4.240 2.448 7.160
0.000 -4.896 7.160
ATOMIC_POSITIONS crystal
Mn 0.000 0.000 0.000
Fe 0.212 0.212 0.212
Fe 0.507 0.507 0.507
Fe 0.702 0.702 0.702
Sb 0.359 0.359 0.359
Sb 0.845 0.845 0.845
P 0.105 0.386 0.829
P 0.307 0.904 0.606
P 0.386 0.829 0.105
P 0.606 0.307 0.904
P 0.829 0.105 0.386
P 0.904 0.606 0.307
O 0.033 0.237 0.867
O 0.088 0.422 0.303
O 0.108 0.951 0.766
O 0.145 0.364 0.991
O 0.237 0.867 0.033
O 0.282 0.390 0.637
O 0.303 0.088 0.422
O 0.327 0.733 0.578
O 0.364 0.991 0.145
O 0.390 0.637 0.282
O 0.422 0.303 0.088
O 0.469 0.874 0.652
O 0.578 0.327 0.733
O 0.590 0.787 0.944
O 0.637 0.282 0.390
O 0.652 0.469 0.874
O 0.733 0.578 0.327
O 0.766 0.108 0.951
O 0.787 0.944 0.590
O 0.867 0.033 0.237
O 0.874 0.652 0.469
O 0.944 0.590 0.787
O 0.951 0.766 0.108
O 0.991 0.145 0.364

***

12.
! Tc3P | the Alexandria database | SCAN | single point on PBEsol structure; values from VASP
! relative energy among the computed polymorphs	0.41	eV per formula unit
! ρ	9.92	g cm⁻³
! crystal system	hexagonal
&SYSTEM
  ibrav = 0, nat = 4, ntyp = 2
/
ATOMIC_SPECIES
Tc 98.00 Tc.upf
P 30.97 P.upf
CELL_PARAMETERS angstrom
2.900 0.000 0.000
-1.450 2.511 0.000
0.000 0.000 7.470
ATOMIC_POSITIONS crystal
Tc 0.000 0.000 0.000
Tc 0.333 0.667 0.280
Tc 0.333 0.667 0.720
P 0.000 0.000 0.500

***

13.
! Cr3MoN | the Alexandria database | SCAN | single point on PBEsol structure; values from VASP
! ρ	4.62	g cm⁻³
! E	-17.6950	eV/atom
! crystal system	cubic
&SYSTEM
  ibrav = 0, nat = 5, ntyp = 3
/
ATOMIC_SPECIES
Cr 52.00 Cr.upf
Mo 95.94 Mo.upf
N 14.01 N.upf
CELL_PARAMETERS angstrom
4.573 0.000 0.000
0.000 4.573 0.000
0.000 0.000 4.573
ATOMIC_POSITIONS crystal
Cr 0.000 0.000 0.500
Cr 0.000 0.500 0.000
Cr 0.500 0.000 0.000
Mo 0.000 0.000 0.000
N 0.500 0.500 0.500

***

14.
! U2CN | the Alexandria database | SCAN | single point on PBEsol structure; values from VASP
! ρ	14.66	g cm⁻³
! E	-57.2641	eV/atom
! crystal system	trigonal
&SYSTEM
  ibrav = 0, nat = 4, ntyp = 3
/
ATOMIC_SPECIES
U 238.03 U.upf
C 12.01 C.upf
N 14.01 N.upf
CELL_PARAMETERS angstrom
1.738 1.004 5.431
-1.738 1.004 5.431
0.000 -2.007 5.431
ATOMIC_POSITIONS crystal
U 0.248 0.248 0.248
U 0.752 0.752 0.752
C 0.000 0.000 0.000
N 0.500 0.500 0.500

***

15.
! SrFeSi2 | the Alexandria database | SCAN | single point on PBEsol structure; values from VASP
! ρ	4.49	g cm⁻³
! E	-14.5366	eV/atom
! crystal system	tetragonal
&SYSTEM
  ibrav = 0, nat = 4, ntyp = 3
/
ATOMIC_SPECIES
Sr 87.62 Sr.upf
Fe 55.84 Fe.upf
Si 28.09 Si.upf
CELL_PARAMETERS angstrom
-2.076 2.076 4.280
2.076 -2.076 4.280
2.076 2.076 -4.280
ATOMIC_POSITIONS crystal
Sr 0.000 0.000 0.000
Fe 0.750 0.250 0.500
Si 0.250 0.750 0.500
Si 0.500 0.500 0.000

***

16.
! ZnTc2Hg | the Alexandria database | SCAN | single point on PBEsol structure; values from VASP
! relative energy among the computed polymorphs	1.26	eV per formula unit
! ρ	12.60	g cm⁻³
! crystal system	orthorhombic
&SYSTEM
  ibrav = 0, nat = 4, ntyp = 3
/
ATOMIC_SPECIES
Zn 65.41 Zn.upf
Tc 98.00 Tc.upf
Hg 200.59 Hg.upf
CELL_PARAMETERS angstrom
-1.588 2.252 4.254
1.588 -2.252 4.254
1.588 2.252 -4.254
ATOMIC_POSITIONS crystal
Zn 0.000 0.000 0.000
Tc 0.522 0.522 0.000
Tc 0.752 0.252 0.500
Hg 0.250 0.750 0.500

***

17.
! Mg3GeF | the Alexandria database | SCAN | single point on PBEsol structure; values from VASP
! ρ	3.20	g cm⁻³
! E	-8.3533	eV/atom
! crystal system	cubic
&SYSTEM
  ibrav = 0, nat = 5, ntyp = 3
/
ATOMIC_SPECIES
Mg 24.30 Mg.upf
Ge 72.64 Ge.upf
F 19.00 F.upf
CELL_PARAMETERS angstrom
4.402 0.000 0.000
0.000 4.402 0.000
0.000 0.000 4.402
ATOMIC_POSITIONS crystal
Mg 0.000 0.000 0.500
Mg 0.000 0.500 0.000
Mg 0.500 0.000 0.000
Ge 0.500 0.500 0.500
F 0.000 0.000 0.000

***

18.
! YTl2Pb | the Alexandria database | SCAN | single point on PBEsol structure; values from VASP
! ρ	11.20	g cm⁻³
! E	-62.4280	eV/atom
! crystal system	tetragonal
&SYSTEM
  ibrav = 0, nat = 4, ntyp = 3
/
ATOMIC_SPECIES
Y 88.91 Y.upf
Tl 204.38 Tl.upf
Pb 207.20 Pb.upf
CELL_PARAMETERS angstrom
-2.262 2.262 5.108
2.262 -2.262 5.108
2.262 2.262 -5.108
ATOMIC_POSITIONS crystal
Y 0.000 0.000 0.000
Tl 0.250 0.750 0.500
Tl 0.750 0.250 0.500
Pb 0.500 0.500 0.000

***

19.
! K2AgMo | the Alexandria database | SCAN | single point on PBEsol structure; values from VASP
! relative energy among the computed polymorphs	0.36	eV per formula unit
! ρ	3.57	g cm⁻³
! crystal system	cubic
&SYSTEM
  ibrav = 0, nat = 4, ntyp = 3
/
ATOMIC_SPECIES
K 39.10 K.upf
Ag 107.87 Ag.upf
Mo 95.94 Mo.upf
CELL_PARAMETERS angstrom
0.000 4.033 4.033
4.033 0.000 4.033
4.033 4.033 0.000
ATOMIC_POSITIONS crystal
K 0.250 0.250 0.250
K 0.750 0.750 0.750
Ag 0.000 0.000 0.000
Mo 0.500 0.500 0.500

***

20.
! TaBiSeN2 | the Alexandria database | SCAN | single point on PBEsol structure; values from VASP
! ρ	9.57	g cm⁻³
! E	-36.6109	eV/atom
! crystal system	tetragonal
&SYSTEM
  ibrav = 0, nat = 5, ntyp = 4
/
ATOMIC_SPECIES
Ta 180.95 Ta.upf
Bi 208.98 Bi.upf
Se 78.96 Se.upf
N 14.01 N.upf
CELL_PARAMETERS angstrom
4.089 0.000 0.000
0.000 4.089 0.000
0.000 0.000 5.159
ATOMIC_POSITIONS crystal
Ta 0.000 0.000 0.000
Bi 0.500 0.500 0.500
Se 0.000 0.000 0.500
N 0.000 0.500 0.000
N 0.500 0.000 0.000